4
Lattice="-4.108 -0.043 3.846 -0.109 -4.001 3.955 1.144 1.304 5.353" Properties=species:S:1:pos:R:3 comment="BaEuHgAu (PBE-GGA, optimized geometry)" total_energy_ev_per_atom=-4.525 delta_e_f_ev_per_atom=-0.580 pbc="T T T"
Eu -2.305 -2.056 9.865
Au 0.000 0.000 0.000
Hg -1.537 -1.370 6.577
Ba -0.768 -0.685 3.288

4
Lattice="5.626 0.000 0.000 2.813 4.872 0.000 2.813 1.624 4.593" Properties=species:S:1:pos:R:3 comment="BaLiEuAu (PBE-GGA, optimized geometry)" total_energy_ev_per_atom=-4.653 delta_e_f_ev_per_atom=-0.306 pbc="T T T"
Eu 8.438 4.872 3.445
Au 0.000 0.000 0.000
Ba 2.813 1.624 1.148
Li 5.626 3.248 2.297

4
Lattice="5.686 0.000 0.000 2.843 4.925 0.000 2.843 1.642 4.643" Properties=species:S:1:pos:R:3 comment="BaEuMgAu (PBE-GGA, optimized geometry)" total_energy_ev_per_atom=-4.577 delta_e_f_ev_per_atom=-0.310 pbc="T T T"
Eu 8.530 4.925 3.482
Mg 5.686 3.283 2.321
Au 0.000 0.000 0.000
Ba 2.843 1.642 1.161

4
Lattice="5.774 0.000 0.000 2.887 5.000 0.000 2.887 1.667 4.714" Properties=species:S:1:pos:R:3 comment="BaNaEuAu (PBE-GGA, optimized geometry)" total_energy_ev_per_atom=-4.454 delta_e_f_ev_per_atom=-0.256 pbc="T T T"
Eu 2.887 1.667 1.179
Na 5.774 3.334 2.357
Au 0.000 0.000 0.000
Ba 8.661 5.000 3.536

4
Lattice="-4.171 -1.766 2.988 0.910 -2.381 4.790 -1.321 2.561 4.597" Properties=species:S:1:pos:R:3 comment="BaEuPAu (PBE-GGA, optimized geometry)" total_energy_ev_per_atom=-6.071 delta_e_f_ev_per_atom=-0.850 pbc="T T T"
Eu -2.291 -0.793 6.188
P -3.436 -1.189 9.281
Au -1.145 -0.396 3.094
Ba 0.000 0.000 0.000

4
Lattice="-1.826 2.226 -4.602 -5.155 1.667 -0.350 -1.130 5.306 -0.187" Properties=species:S:1:pos:R:3 comment="BaEuPdAu (PBE-GGA, optimized geometry)" total_energy_ev_per_atom=-5.776 delta_e_f_ev_per_atom=-0.609 pbc="T T T"
Eu -6.083 6.899 -3.854
Au 0.000 0.000 0.000
Ba -2.028 2.300 -1.285
Pd -4.056 4.600 -2.570

4
Lattice="5.384 0.000 0.000 2.692 4.663 0.000 2.692 1.554 4.396" Properties=species:S:1:pos:R:3 comment="BaEuPtAu (PBE-GGA, optimized geometry)" total_energy_ev_per_atom=-6.100 delta_e_f_ev_per_atom=-0.721 pbc="T T T"
Eu 0.000 0.000 0.000
Au 2.692 1.554 1.099
Ba 5.384 3.109 2.198
Pt 8.077 4.663 3.297

4
Lattice="-0.945 -3.195 4.607 1.204 -5.556 -0.098 4.383 -2.012 3.012" Properties=species:S:1:pos:R:3 comment="BaEuSbAu (PBE-GGA, optimized geometry)" formation_energy_uncorrected_mev_per_atom=-896 total_energy_ev_per_atom=-5.796 pbc="T T T"
Eu 1.161 -2.691 1.880
Sb 2.321 -5.382 3.760
Au 0.000 0.000 0.000
Ba 3.482 -8.073 5.641

Taking the records one at a time from the top gives D(E_F) values of 11.1; 10.6; 11.6; 11.3; 0.1; 12.0; 10.8; 0.1 states/eV/f.u..